# K2MnPbCl8 | Alexandria | GGA-PBE | optimized geometry
# Formation energy (no corrections)   -1.1715 eV per atom
# E_tot   -3.659 eV/atom
data_K2MnPbCl8
_cell_length_a 6.8821
_cell_length_b 6.8821
_cell_length_c 7.8144
_cell_angle_alpha 90.00
_cell_angle_beta 90.00
_cell_angle_gamma 120.00
_symmetry_space_group_name_H-M 'P -3 m 1'
_symmetry_Int_Tables_number 164
_symmetry_space_group_name_Hall '-P 3 2"'
loop_
_atom_site_label
_atom_site_type_symbol
_atom_site_fract_x
_atom_site_fract_y
_atom_site_fract_z
K1 K 0.3333 0.6667 0.3602
Mn1 Mn 0.0000 0.0000 0.5000
Pb1 Pb 0.0000 0.0000 0.0000
Cl1 Cl 0.1546 0.3092 0.6797
Cl2 Cl 0.3333 0.6667 0.9913

# KMnPb2Cl8 | Alexandria | GGA-PBE | optimized geometry
# Formation energy (no corrections)   -1.1961 eV per atom
# E_tot   -3.901 eV/atom
# Fermi-level density of states   0.016 states/eV/atom
data_KMnPb2Cl8
_cell_length_a 6.375
_cell_length_b 8.645
_cell_length_c 6.770
_cell_angle_alpha 90.00
_cell_angle_beta 92.89
_cell_angle_gamma 90.00
_symmetry_space_group_name_H-M 'P 1 2/m 1'
_symmetry_Int_Tables_number 10
_symmetry_space_group_name_Hall '-P 2y'
loop_
_atom_site_label
_atom_site_type_symbol
_atom_site_fract_x
_atom_site_fract_y
_atom_site_fract_z
K1 K 0.000 0.000 0.000
Mn1 Mn 0.000 0.500 0.000
Pb1 Pb 0.500 0.264 0.500
Cl1 Cl 0.211 0.310 0.142
Cl2 Cl 0.245 0.500 0.681
Cl3 Cl 0.288 0.000 0.655

# KMnPbCl5 | Alexandria | GGA-PBE | optimized geometry
# Formation energy (no corrections)   -1.3440 eV per atom
# E_tot   -4.245 eV/atom
# Fermi-level density of states   0.000 states/eV/atom
data_KMnPbCl5
_cell_length_a 9.182
_cell_length_b 12.369
_cell_length_c 10.202
_cell_angle_alpha 90.00
_cell_angle_beta 113.08
_cell_angle_gamma 90.00
_symmetry_space_group_name_H-M 'C 1 2/c 1'
_symmetry_Int_Tables_number 15
_symmetry_space_group_name_Hall '-C 2yc'
loop_
_atom_site_label
_atom_site_type_symbol
_atom_site_fract_x
_atom_site_fract_y
_atom_site_fract_z
K1 K 0.000 0.151 0.250
Mn1 Mn 0.000 0.183 0.750
Pb1 Pb 0.000 0.500 0.000
Cl1 Cl 0.000 0.400 0.250
Cl2 Cl 0.128 0.291 0.637
Cl3 Cl 0.167 0.065 0.929

# K2MnPbCl6 | Alexandria | GGA-PBE | optimized geometry
# Formation energy (no corrections)   -1.4627 eV per atom
# E_tot   -4.078 eV/atom
# Fermi-level density of states   0.000 states/eV/atom
data_K2MnPbCl6
_cell_length_a 7.376
_cell_length_b 7.378
_cell_length_c 7.494
_cell_angle_alpha 60.63
_cell_angle_beta 60.80
_cell_angle_gamma 61.02
_symmetry_space_group_name_H-M 'P -1'
_symmetry_Int_Tables_number 2
_symmetry_space_group_name_Hall '-P 1'
loop_
_atom_site_label
_atom_site_type_symbol
_atom_site_fract_x
_atom_site_fract_y
_atom_site_fract_z
K1 K 0.248 0.244 0.275
Mn1 Mn 0.500 0.500 0.500
Pb1 Pb 0.000 0.000 0.000
Cl1 Cl 0.204 0.679 0.328
Cl2 Cl 0.274 0.265 0.834
Cl3 Cl 0.318 0.793 0.676

# KMnPd2Cl8 | Alexandria | GGA-PBE | optimized geometry
# Formation energy (no corrections)   -0.8053 eV per atom
# E_tot   -3.757 eV/atom
# Fermi-level density of states   0.138 states/eV/atom
data_KMnPd2Cl8
_cell_length_a 5.631
_cell_length_b 5.781
_cell_length_c 10.399
_cell_angle_alpha 102.67
_cell_angle_beta 93.94
_cell_angle_gamma 94.27
_symmetry_space_group_name_H-M 'P -1'
_symmetry_Int_Tables_number 2
_symmetry_space_group_name_Hall '-P 1'
loop_
_atom_site_label
_atom_site_type_symbol
_atom_site_fract_x
_atom_site_fract_y
_atom_site_fract_z
K1 K 0.000 0.000 0.000
Mn1 Mn 0.000 0.000 0.500
Pd1 Pd 0.439 0.498 0.309
Cl1 Cl 0.133 0.205 0.310
Cl2 Cl 0.215 0.245 0.693
Cl3 Cl 0.310 0.744 0.495
Cl4 Cl 0.465 0.733 0.888

# KMnPdCl6 | Alexandria | GGA-PBE | optimized geometry
# Formation energy (no corrections)   -1.0149 eV per atom
# E_tot   -3.964 eV/atom
data_KMnPdCl6
_cell_length_a 5.973
_cell_length_b 6.991
_cell_length_c 7.320
_cell_angle_alpha 88.07
_cell_angle_beta 68.75
_cell_angle_gamma 74.69
_symmetry_space_group_name_H-M 'P 1'
_symmetry_Int_Tables_number 1
_symmetry_space_group_name_Hall 'P 1'
loop_
_atom_site_label
_atom_site_type_symbol
_atom_site_fract_x
_atom_site_fract_y
_atom_site_fract_z
K1 K 0.000 0.000 0.000
Mn1 Mn 0.700 0.574 0.557
Pd1 Pd 0.335 0.329 0.438
Cl1 Cl 0.318 0.502 0.714
Cl2 Cl 0.397 0.147 0.159
Cl3 Cl 0.618 0.755 0.828
Cl4 Cl 0.687 0.440 0.273
Cl5 Cl 0.957 0.741 0.370
Cl6 Cl 0.965 0.250 0.614

# KMn2PdCl8 | Alexandria | GGA-PBE | optimized geometry
# Formation energy (no corrections)   -0.9733 eV per atom
# E_tot   -4.257 eV/atom
# Fermi-level density of states   1.072 states/eV/atom
data_KMn2PdCl8
_cell_length_a 6.4685
_cell_length_b 6.4685
_cell_length_c 9.0265
_cell_angle_alpha 90.00
_cell_angle_beta 90.00
_cell_angle_gamma 120.00
_symmetry_space_group_name_H-M 'P -3'
_symmetry_Int_Tables_number 147
_symmetry_space_group_name_Hall '-P 3'
loop_
_atom_site_label
_atom_site_type_symbol
_atom_site_fract_x
_atom_site_fract_y
_atom_site_fract_z
K1 K 0.0000 0.0000 0.0000
Mn1 Mn 0.3333 0.6667 0.7297
Pd1 Pd 0.0000 0.0000 0.5000
Cl1 Cl 0.0008 0.3067 0.6644
Cl2 Cl 0.3333 0.6667 0.9783

# KPmMn2Cl8 | Alexandria | GGA-PBE | optimized geometry
# Formation energy (no corrections)   -1.5755 eV per atom
# E_tot   -4.822 eV/atom
# Fermi-level density of states   0.000 states/eV/atom
data_KPmMn2Cl8
_cell_length_a 6.4797
_cell_length_b 6.4797
_cell_length_c 30.7288
_cell_angle_alpha 90.00
_cell_angle_beta 90.00
_cell_angle_gamma 120.00
_symmetry_space_group_name_H-M 'R 3 2'
_symmetry_Int_Tables_number 155
_symmetry_space_group_name_Hall 'R 3 2"'
loop_
_atom_site_label
_atom_site_type_symbol
_atom_site_fract_x
_atom_site_fract_y
_atom_site_fract_z
K1 K 0.0000 0.0000 0.0000
Pm1 Pm 0.0000 0.0000 0.5000
Mn1 Mn 0.0000 0.0000 0.2504
Cl1 Cl 0.0000 0.0000 0.3242
Cl2 Cl 0.0020 0.3467 0.2238

What did we get for magnetic moment? Answer: 2.9 4.0 5.0 5.0 3.9 3.9 8.7 10.0 μB/f.u., in the order shown.